First-principles (PBE) data for crystalline ScSbBr2 at its relaxed geometry, as listed in Alexandria.

```
ScSbBr2
1.0
4.9260 0.0000 0.0000
0.0000 3.4137 0.0000
-0.0873 0.0000 5.9669
Sc Sb Br
1 1 2
direct
0.0000 0.0000 0.0000
0.0000 0.5000 0.5000
0.5000 0.0000 0.5000
0.5000 0.5000 0.0000
```

Summary:
Formation energy (no corrections) = -0.49 eV/atom
Distance to the lowest polymorph of the same formula = 0.4218 eV/atom
Density of states at the Fermi level = 0.5419 states/eV/atom